Record 1
First-principles (GGA-PBE) data for an optimized crystal structure of YTi2MoBr, as listed in Alexandria via LeMat-Bulk.

abc: 4.6976 4.6976 5.4570
angles: 90.00 90.00 90.00
Space group P4/mmm (No. 123)
Symmetry-distinct sites (fractional):
Y 0.0000 0.0000 0.0000
Ti 0.0000 0.5000 0.5000
Mo 0.5000 0.5000 0.5000
Br 0.5000 0.5000 0.0000

Offset from the most stable computed form = 0.0 kJ/mol of atoms
Fermi-level density of states = 3.2 states/eV/cell
Formation energy (no corrections) = 55.9 kJ per mole of atoms

Record 2
First-principles (GGA-PBE) data for an optimized crystal structure of TlMoBr2, as listed in Alexandria via LeMat-Bulk.

abc: 4.3700 4.3700 12.8451
angles: 90.00 90.00 90.00
Space group I-4m2 (No. 119)
Symmetry-distinct sites (fractional):
Tl 0.0000 0.0000 0.0000
Mo 0.0000 0.5000 0.2500
Br 0.0000 0.0000 0.5000
Br 0.0000 0.5000 0.7500

Offset from the most stable computed form = 41.5 kJ/mol of atoms
Fermi-level density of states = 1.4 states/eV/cell
Formation energy (no corrections) = 40.0 kJ per mole of atoms

Record 3
First-principles (GGA-PBE) data for an optimized crystal structure of TlMo2Br, as listed in Alexandria via LeMat-Bulk.

abc: 3.2148 3.2148 6.9274
angles: 90.00 90.00 90.00
Space group P4/mmm (No. 123)
Symmetry-distinct sites (fractional):
Tl 0.0000 0.0000 0.0000
Mo 0.5000 0.5000 0.2815
Br 0.0000 0.0000 0.5000

Offset from the most stable computed form = 71.1 kJ/mol of atoms
Fermi-level density of states = 4.7 states/eV/cell
Formation energy (no corrections) = 99.8 kJ per mole of atoms

Record 4
First-principles (GGA-PBE) data for an optimized crystal structure of TlMoBr2, as listed in Alexandria via LeMat-Bulk.

abc: 3.5194 3.5194 27.5146
angles: 90.00 90.00 120.00
Space group R3m (No. 160, hexagonal axes)
Symmetry-distinct sites (fractional):
Tl 0.0000 0.0000 0.0000
Mo 0.0000 0.0000 0.2540
Br 0.0000 0.0000 0.5315
Br 0.0000 0.0000 0.7441

Offset from the most stable computed form = 10.9 kJ/mol of atoms
Fermi-level density of states = 5.8 states/eV/cell
Formation energy (no corrections) = 9.4 kJ per mole of atoms

Record 5
First-principles (GGA-PBE) data for an optimized crystal structure of TlMo2Br, as listed in Alexandria via LeMat-Bulk.

abc: 6.6622 6.6622 6.6622
angles: 90.00 90.00 90.00
Space group Fm-3m (No. 225)
Symmetry-distinct sites (fractional):
Tl 0.0000 0.0000 0.0000
Mo 0.2500 0.2500 0.2500
Br 0.0000 0.0000 0.5000

Offset from the most stable computed form = 83.0 kJ/mol of atoms
Fermi-level density of states = 14.9 states/eV/cell
Formation energy (no corrections) = 111.8 kJ per mole of atoms

Record 6
First-principles (GGA-PBE) data for an optimized crystal structure of TlMoBr2, as listed in Alexandria via LeMat-Bulk.

abc: 3.8530 5.1732 5.7382
angles: 90.00 90.00 90.00
Space group Pmmm (No. 47)
Symmetry-distinct sites (fractional):
Tl 0.0000 0.0000 0.0000
Mo 0.0000 0.5000 0.5000
Br 0.5000 0.0000 0.5000
Br 0.5000 0.5000 0.0000

Offset from the most stable computed form = 39.3 kJ/mol of atoms
Fermi-level density of states = 0.5 states/eV/cell
Formation energy (no corrections) = 37.8 kJ per mole of atoms

Record 7
First-principles (GGA-PBE) data for an optimized crystal structure of Tl3MoBr8, as listed in Alexandria via LeMat-Bulk.

abc: 9.6178 9.6178 12.0002
angles: 90.00 90.00 120.00
Space group P6_3mc (No. 186)
Symmetry-distinct sites (fractional):
Tl 0.1753 0.3507 0.0000
Mo 0.3333 0.6667 0.3050
Br 0.0000 0.0000 0.0993
Br 0.0834 0.5417 0.1867
Br 0.2095 0.4190 0.4303
Br 0.3333 0.6667 0.8548

Fermi-level density of states = 12.3 states/eV/cell
Formation energy (no corrections) = -60.2 kJ per mole of atoms

Record 8
First-principles (GGA-PBE) data for an optimized crystal structure of TlMoBr2, as listed in Alexandria via LeMat-Bulk.

abc: 3.3241 3.3241 31.8151
angles: 90.00 90.00 120.00
Space group R-3m (No. 166, hexagonal axes)
Symmetry-distinct sites (fractional):
Tl 0.0000 0.0000 0.0000
Mo 0.0000 0.0000 0.5000
Br 0.0000 0.0000 0.4240

Offset from the most stable computed form = 29.7 kJ/mol of atoms
Fermi-level density of states = 11.6 states/eV/cell
Formation energy (no corrections) = 28.1 kJ per mole of atoms